Entry 1:
Density functional theory data (PBEsol) for a geometry-optimized AlIr2Se structure.

Structure (extended XYZ):
```
4
Lattice="2.876 -0.003 0.000 -0.008 4.772 0.000 -1.434 -2.384 4.388" Properties=species:S:1:pos:R:3 pbc="T T T"
Ir 0.721 -1.194 2.194
Al 1.438 -0.002 0.000
Se -0.004 2.386 0.000
Ir -0.721 1.194 2.194
```

uncorrected formation energy = 0.12 eV/atom
final energy = -6.77 eV per atom
spin magnetization = 0.00 μB/cell

Entry 2:
Density functional theory data (PBEsol) for a geometry-optimized LaMg2Al structure.

Structure (extended XYZ):
```
4
Lattice="5.112 0.000 0.000 2.556 4.427 0.000 2.556 1.476 4.174" Properties=species:S:1:pos:R:3 pbc="T T T"
Mg 5.112 2.952 2.087
Mg 7.669 4.427 3.131
La 2.556 1.476 1.044
Al 0.000 0.000 0.000
```

E_form = -0.8 eV per formula unit
final energy = -3.41 eV per atom
spin magnetization = 0.00 μB/cell

Entry 3:
Density functional theory data (PBEsol) for a geometry-optimized YNi2RhC structure.

Structure (extended XYZ):
```
5
Lattice="-1.301 -4.058 -1.501 4.024 -0.559 -1.976 1.660 -1.991 3.943" Properties=species:S:1:pos:R:3 pbc="T T T"
Rh 0.830 -0.996 1.972
C 2.191 -3.304 0.233
Ni -0.651 -2.029 -0.751
Ni 2.012 -0.280 -0.988
Y 0.000 0.000 0.000
```

E_form = 13.6 eV per formula unit
final energy = -4.67 eV per atom
spin magnetization = 0.01 μB/cell

Entry 4:
Density functional theory data (PBEsol) for a geometry-optimized GaCuOF2 structure.

Structure (extended XYZ):
```
5
Lattice="3.828 0.000 0.000 0.000 3.888 0.000 0.000 0.000 3.888" Properties=species:S:1:pos:R:3 pbc="T T T"
O 1.914 0.000 0.000
Ga 1.914 1.944 1.944
F 0.000 1.944 0.000
Cu 0.000 0.000 0.000
F 0.000 0.000 1.944
```

uncorrected formation energy = -1.01 eV/atom
final energy = -4.37 eV per atom
spin magnetization = 0.00 μB/cell

Repeat the third record exactly.
Density functional theory data (PBEsol) for a geometry-optimized YNi2RhC structure.

Structure (extended XYZ):
```
5
Lattice="-1.301 -4.058 -1.501 4.024 -0.559 -1.976 1.660 -1.991 3.943" Properties=species:S:1:pos:R:3 pbc="T T T"
Rh 0.830 -0.996 1.972
C 2.191 -3.304 0.233
Ni -0.651 -2.029 -0.751
Ni 2.012 -0.280 -0.988
Y 0.000 0.000 0.000
```

E_form = 13.6 eV per formula unit
final energy = -4.67 eV per atom
spin magnetization = 0.01 μB/cell

Question: Among the records above, which one has the highest final energy?
Answer: LaMg2Al

Question: Look up the spin magnetization of the third one.
Answer: 0.01 μB/cell

Question: The lowest final energy belongs to which entry?
Answer: AlIr2Se